No. 1
PrZn3IrRh | the Alexandria database | PBE | optimized geometry; symmetry = Cmcm, No. 63; calculated total energy = -53.71 eV per cell; energy of formation = -0.3399 eV/atom
1.0
5.516 0.000 0.000
0.000 6.368 0.000
0.000 -3.184 6.312
Rh Zn Pr Ir
2 6 2 2
direct
0.250 0.937 0.874
0.750 0.063 0.126
0.500 0.698 0.000
0.250 0.145 0.291
0.000 0.698 0.000
0.500 0.302 0.000
0.000 0.302 0.000
0.750 0.855 0.709
0.750 0.274 0.549
0.250 0.726 0.451
0.250 0.354 0.707
0.750 0.646 0.293

No. 2
Pr2ZnIr2Rh5 | the Alexandria database | PBE | optimized geometry; symmetry = P4/mbm, No. 127; calculated total energy = -135.65 eV per cell; energy of formation = -0.2511 eV/atom
1.0
3.928 0.000 0.000
0.000 9.612 0.000
0.000 0.000 9.612
Zn Ir Pr Rh
2 4 4 10
direct
0.000 0.000 0.000
0.000 0.500 0.500
0.000 0.368 0.132
0.000 0.868 0.368
0.000 0.632 0.868
0.000 0.132 0.632
0.000 0.668 0.168
0.000 0.168 0.332
0.000 0.832 0.668
0.000 0.332 0.832
0.500 0.196 0.063
0.500 0.500 0.000
0.500 0.937 0.196
0.500 0.696 0.437
0.500 0.000 0.500
0.500 0.063 0.804
0.500 0.304 0.563
0.500 0.563 0.696
0.500 0.437 0.304
0.500 0.804 0.937

No. 3
Pr8Ir2Ru | the Alexandria database | PBE | optimized geometry; symmetry = Cm, No. 8; calculated total energy = -67.94 eV per cell; energy of formation = -0.2458 eV/atom
1.0
6.330 0.044 -1.077
-2.069 6.862 -2.932
-0.206 -0.177 7.739
Pr Ir Ru
8 2 1
direct
0.368 0.921 0.660
0.798 0.648 0.648
0.181 0.357 0.357
0.591 0.347 0.084
0.991 0.794 0.204
0.591 0.084 0.347
0.991 0.204 0.794
0.368 0.660 0.921
0.486 0.318 0.693
0.486 0.693 0.318
0.150 0.007 0.007

No. 4
Pr6Ir2Ru | the Alexandria database | PBE | optimized geometry; symmetry = P2_1/c, No. 14; calculated total energy = -117.94 eV per cell; energy of formation = -0.3663 eV/atom
1.0
-6.317 -2.547 1.211
2.677 -3.863 5.839
-1.376 8.212 6.064
Pr Ir Ru
12 4 2
direct
0.167 0.056 0.750
0.333 0.556 0.750
0.823 0.681 0.580
0.677 0.181 0.920
0.177 0.319 0.420
0.331 0.821 0.435
0.831 0.679 0.935
0.833 0.944 0.250
0.667 0.444 0.250
0.669 0.179 0.565
0.323 0.819 0.080
0.169 0.321 0.065
0.049 0.612 0.229
0.549 0.888 0.729
0.451 0.112 0.271
0.951 0.388 0.771
0.500 0.500 0.000
0.000 0.000 0.500

No. 5
Pr5IrRu2 | the Alexandria database | PBE | optimized geometry; symmetry = I4/mcm, No. 140; calculated total energy = -107.04 eV per cell; energy of formation = -0.2761 eV/atom
1.0
-4.819 5.830 0.643
-3.920 -3.820 5.260
8.552 1.877 2.258
Ru Pr Ir
4 10 2
direct
0.619 0.119 0.000
0.881 0.619 0.000
0.119 0.381 0.000
0.381 0.881 0.000
0.321 0.821 0.286
0.966 0.466 0.286
0.679 0.179 0.714
0.821 0.966 0.286
0.534 0.679 0.714
0.034 0.534 0.714
0.179 0.034 0.714
0.000 0.000 0.000
0.500 0.500 0.000
0.466 0.321 0.286
0.750 0.750 0.500
0.250 0.250 0.500

No. 6
Pr3IrRu | the Alexandria database | PBE | optimized geometry; symmetry = R-3, No. 148; calculated total energy = -67.82 eV per cell; energy of formation = -0.2864 eV/atom
1.0
-5.034 4.434 -2.603
-4.694 -2.370 -4.916
-7.254 -1.111 2.191
Pr Ru Ir
6 2 2
direct
0.247 0.592 0.251
0.090 0.754 0.749
0.753 0.408 0.749
0.408 0.089 0.749
0.910 0.246 0.251
0.592 0.911 0.251
0.172 0.173 0.483
0.828 0.827 0.517
0.671 0.671 0.988
0.329 0.329 0.012

No. 7
Pr4IrRu | the Alexandria database | PBE | optimized geometry; symmetry = C2/c, No. 15; calculated total energy = -78.67 eV per cell; energy of formation = -0.3465 eV/atom
1.0
6.164 0.145 -2.157
-2.608 6.510 -3.117
0.097 0.099 8.226
Pr Ir Ru
8 2 2
direct
0.994 0.762 0.130
0.364 0.632 0.870
0.791 0.689 0.646
0.209 0.311 0.354
0.006 0.238 0.870
0.636 0.368 0.130
0.355 0.957 0.646
0.645 0.043 0.354
0.613 0.363 0.727
0.387 0.637 0.273
0.747 0.997 0.993
0.253 0.003 0.007

No. 8
Pr4IrRu | the Alexandria database | PBE | optimized geometry; symmetry = P-1, No. 2; calculated total energy = -78.29 eV per cell; energy of formation = -0.3154 eV/atom
1.0
7.042 0.431 -0.005
-0.807 7.006 -0.004
-3.122 -3.724 7.054
Pr Ru Ir
8 2 2
direct
0.980 0.747 0.997
0.518 0.250 0.997
0.482 0.750 0.003
0.254 0.519 0.504
0.746 0.481 0.496
0.020 0.253 0.003
0.750 0.985 0.504
0.250 0.015 0.496
0.376 0.625 0.251
0.624 0.375 0.749
0.125 0.875 0.750
0.875 0.125 0.250

No. 9
Pr6IrRu2 | the Alexandria database | PBE | optimized geometry; symmetry = Imm2, No. 44; calculated total energy = -116.42 eV per cell; energy of formation = -0.2355 eV/atom
1.0
-4.348 5.162 -5.354
2.390 -7.210 -4.066
-4.981 -2.248 6.660
Ru Pr Ir
4 12 2
direct
0.329 0.000 0.329
0.671 0.000 0.671
0.500 0.619 0.119
0.500 0.381 0.881
0.080 0.255 0.826
0.186 0.265 0.451
0.186 0.735 0.921
0.429 0.255 0.174
0.919 0.745 0.174
0.314 0.644 0.331
0.686 0.356 0.669
0.686 0.017 0.331
0.814 0.735 0.549
0.314 0.983 0.669
0.571 0.745 0.826
0.814 0.265 0.079
0.001 0.501 0.500
0.000 0.000 0.000

No. 10
Pr2IrRu | the Alexandria database | PBE | optimized geometry; symmetry = P4/mmm, No. 123; calculated total energy = -28.70 eV per cell; energy of formation = -0.2509 eV/atom
1.0
3.614 0.000 0.000
0.000 4.993 0.000
0.000 0.000 4.993
Pr Ir Ru
2 1 1
direct
0.000 0.500 0.000
0.000 0.000 0.500
0.500 0.500 0.500
0.500 0.000 0.000

No. 11
PrScIrRu | the Alexandria database | PBE | optimized geometry; symmetry = F-43m, No. 216; calculated total energy = -31.00 eV per cell; energy of formation = -0.4387 eV/atom
1.0
-4.665 -0.920 -0.655
-2.894 -0.548 3.791
-3.275 3.356 1.025
Ir Sc Ru Pr
1 1 1 1
direct
0.000 0.000 0.000
0.750 0.750 0.750
0.500 0.500 0.500
0.250 0.250 0.250

No. 12
PrThIrRu | the Alexandria database | PBE | optimized geometry; symmetry = F-43m, No. 216; calculated total energy = -32.04 eV per cell; energy of formation = -0.4249 eV/atom
1.0
5.040 0.000 0.000
2.520 4.364 0.000
2.520 1.455 4.115
Ir Ru Pr Th
1 1 1 1
direct
0.250 0.250 0.250
0.750 0.750 0.750
0.000 0.000 0.000
0.500 0.500 0.500

No. 13
PrYIrRu | the Alexandria database | PBE | optimized geometry; symmetry = F-43m, No. 216; calculated total energy = -30.95 eV per cell; energy of formation = -0.3919 eV/atom
1.0
-3.713 0.738 -3.169
0.833 -0.182 -4.863
-1.755 -3.767 -2.666
Pr Ir Y Ru
1 1 1 1
direct
0.000 0.000 0.000
0.750 0.750 0.750
0.500 0.500 0.500
0.250 0.250 0.250

No. 14
Pr2IrS | the Alexandria database | PBE | optimized geometry; symmetry = R-3m, No. 166; calculated total energy = -27.42 eV per cell; raw formation energy = -1.219 eV/atom
1.0
4.089 0.000 0.000
2.045 3.541 0.000
2.045 1.180 7.168
Pr S Ir
2 1 1
direct
0.246 0.246 0.261
0.754 0.754 0.739
0.000 0.000 0.000
0.500 0.500 0.500

No. 15
PrIrS | the Alexandria database | PBE | optimized geometry; symmetry = Cmcm, No. 63; calculated total energy = -41.64 eV per cell; raw formation energy = -1.017 eV/atom
1.0
5.631 0.000 0.000
0.000 5.774 0.000
-2.815 0.000 3.849
Pr Ir S
2 2 2
direct
0.340 0.750 0.680
0.660 0.250 0.320
0.000 0.500 0.000
0.000 0.000 0.000
0.239 0.250 0.479
0.761 0.750 0.521

No. 16
Pr5IrS4 | the Alexandria database | PBE | optimized geometry; symmetry = I4/mmm, No. 139; calculated total energy = -66.35 eV per cell; raw formation energy = -1.708 eV/atom
1.0
-3.808 0.259 1.594
-0.170 -4.125 0.264
7.669 2.561 12.540
S Pr Ir
4 5 1
direct
0.398 0.398 0.795
0.198 0.198 0.396
0.802 0.802 0.604
0.602 0.602 0.205
0.098 0.098 0.196
0.297 0.297 0.595
0.902 0.902 0.804
0.703 0.703 0.405
0.500 0.500 0.000
0.000 0.000 0.000

No. 17
Pr2IrS | the Alexandria database | PBE | optimized geometry; symmetry = R3m, No. 160; calculated total energy = -27.14 eV per cell; raw formation energy = -1.149 eV/atom
1.0
-3.185 -1.260 -2.203
-0.348 -3.929 -1.013
-4.946 -2.986 5.095
Pr Ir S
2 1 1
direct
0.256 0.256 0.231
0.078 0.078 0.767
0.667 0.667 0.000
0.500 0.500 0.501

No. 18
Pr8IrSe4S3 | the Alexandria database | PBE | optimized geometry; symmetry = R-3m, No. 166; calculated total energy = -101.74 eV per cell; raw formation energy = -1.770 eV/atom
1.0
-8.115 1.535 -1.571
-2.211 -5.607 5.941
5.174 6.332 1.953
S Pr Se Ir
3 8 4 1
direct
0.000 0.500 0.500
0.500 0.500 0.000
0.500 0.500 0.500
0.759 0.268 0.009
0.241 0.732 0.991
0.750 0.732 0.991
0.759 0.268 0.518
0.255 0.266 0.511
0.250 0.268 0.009
0.745 0.734 0.489
0.241 0.732 0.482
0.000 0.000 0.500
0.000 0.000 0.000
0.500 0.000 0.000
0.500 0.000 0.500
0.000 0.500 0.000

No. 19
Pr6Ir2SeS3 | the Alexandria database | PBE | optimized geometry; symmetry = C2/m, No. 12; calculated total energy = -80.02 eV per cell; raw formation energy = -1.480 eV/atom
1.0
-1.008 -2.865 -2.785
-4.828 -3.998 5.862
-5.171 7.418 -2.711
Pr Ir S Se
6 2 3 1
direct
0.669 0.581 0.339
0.007 0.263 0.014
0.331 0.419 0.661
0.672 0.104 0.345
0.993 0.737 0.986
0.328 0.896 0.655
0.832 0.663 0.664
0.168 0.337 0.336
0.840 0.160 0.680
0.160 0.840 0.320
0.500 0.500 0.000
0.500 0.000 0.000

No. 20
Pr8Te4IrS3 | the Alexandria database | PBE | optimized geometry; symmetry = R-3m, No. 166; calculated total energy = -97.11 eV per cell; raw formation energy = -1.566 eV/atom
1.0
8.598 0.000 0.000
0.000 8.811 0.144
-4.299 -4.294 6.083
Te S Ir Pr
4 3 1 8
direct
0.000 0.000 0.500
0.500 0.000 0.000
0.500 0.000 0.500
0.000 0.000 0.000
0.500 0.500 0.500
0.500 0.500 0.000
0.000 0.500 0.500
0.000 0.500 0.000
0.235 0.713 0.470
0.235 0.713 0.978
0.737 0.711 0.474
0.744 0.713 0.978
0.765 0.287 0.530
0.263 0.289 0.526
0.256 0.287 0.022
0.765 0.287 0.022

No. 21
Pr6Te3Ir2S | the Alexandria database | PBE | optimized geometry; symmetry = C2/m, No. 12; calculated total energy = -75.13 eV per cell; raw formation energy = -1.265 eV/atom
1.0
4.275 0.000 0.000
0.000 9.003 0.051
-2.138 -2.875 9.300
Pr S Ir Te
6 1 2 3
direct
0.335 0.881 0.670
0.665 0.119 0.330
0.325 0.437 0.650
0.675 0.563 0.350
0.013 0.239 0.027
0.987 0.761 0.973
0.500 0.000 0.000
0.167 0.335 0.333
0.833 0.665 0.667
0.500 0.500 0.000
0.161 0.841 0.323
0.839 0.159 0.677

No. 22
Pr4Te2IrS | the Alexandria database | PBE | optimized geometry; symmetry = P2/m, No. 10; calculated total energy = -49.38 eV per cell; raw formation energy = -1.374 eV/atom
1.0
-0.633 2.820 3.133
-7.406 -0.074 -1.430
1.555 -5.511 5.274
Pr Te S Ir
4 2 1 1
direct
0.500 0.757 0.784
0.500 0.243 0.216
0.000 0.727 0.210
0.000 0.273 0.790
0.000 0.500 0.500
0.500 0.000 0.500
0.000 0.000 0.000
0.500 0.500 0.000